# PuZrPa, optimized geometry, DFT PBE-GGA
data_PuZrPa
_cell_length_a 4.622
_cell_length_b 4.622
_cell_length_c 4.622
_cell_angle_alpha 60.00
_cell_angle_beta 60.00
_cell_angle_gamma 60.00
_symmetry_space_group_name_H-M 'P 1'
_symmetry_Int_Tables_number 1
loop_
_symmetry_equiv_pos_as_xyz
'x,y,z'
loop_
_atom_site_label
_atom_site_type_symbol
_atom_site_fract_x
_atom_site_fract_y
_atom_site_fract_z
Pu1 Pu 0.000 0.000 0.000
Zr1 Zr 0.250 0.250 0.250
Pa1 Pa 0.750 0.750 0.750
# Space group: F-43m, No. 216
# E, eV per atom: -10.01
# Size of the total moment, μB per atom: 2.3661

=====

# Rb3PaS4, optimized geometry, DFT PBE-GGA
data_Rb3PaS4
_cell_length_a 8.019
_cell_length_b 8.019
_cell_length_c 4.277
_cell_angle_alpha 90.00
_cell_angle_beta 90.00
_cell_angle_gamma 109.99
_symmetry_space_group_name_H-M 'P 1'
_symmetry_Int_Tables_number 1
loop_
_symmetry_equiv_pos_as_xyz
'x,y,z'
loop_
_atom_site_label
_atom_site_type_symbol
_atom_site_fract_x
_atom_site_fract_y
_atom_site_fract_z
Rb1 Rb 0.000 0.000 0.000
Rb2 Rb 0.000 0.500 0.500
Rb3 Rb 0.500 0.000 0.500
Pa1 Pa 0.500 0.500 0.000
S1 S 0.306 0.306 0.500
S2 S 0.306 0.694 0.000
S3 S 0.694 0.306 0.000
S4 S 0.694 0.694 0.500
# Space group: Cmmm, No. 65
# E, eV per atom: -5.05
# Size of the total moment, μB per atom: 0.0002

=====

# RbPaSb, optimized geometry, DFT PBE-GGA
data_RbPaSb
_cell_length_a 5.406
_cell_length_b 5.406
_cell_length_c 5.406
_cell_angle_alpha 60.00
_cell_angle_beta 60.00
_cell_angle_gamma 60.00
_symmetry_space_group_name_H-M 'P 1'
_symmetry_Int_Tables_number 1
loop_
_symmetry_equiv_pos_as_xyz
'x,y,z'
loop_
_atom_site_label
_atom_site_type_symbol
_atom_site_fract_x
_atom_site_fract_y
_atom_site_fract_z
Rb1 Rb 0.000 0.000 0.000
Pa1 Pa 0.250 0.250 0.250
Sb1 Sb 0.500 0.500 0.500
# Space group: F-43m, No. 216
# E, eV per atom: -4.01
# Size of the total moment, μB per atom: 0.9870

=====

size of the total moment of number 2 (Rb3PaS4)? 0.0002 μB per atom

=====

What did the third record say?
# RbPaSb, optimized geometry, DFT PBE-GGA
data_RbPaSb
_cell_length_a 5.406
_cell_length_b 5.406
_cell_length_c 5.406
_cell_angle_alpha 60.00
_cell_angle_beta 60.00
_cell_angle_gamma 60.00
_symmetry_space_group_name_H-M 'P 1'
_symmetry_Int_Tables_number 1
loop_
_symmetry_equiv_pos_as_xyz
'x,y,z'
loop_
_atom_site_label
_atom_site_type_symbol
_atom_site_fract_x
_atom_site_fract_y
_atom_site_fract_z
Rb1 Rb 0.000 0.000 0.000
Pa1 Pa 0.250 0.250 0.250
Sb1 Sb 0.500 0.500 0.500
# Space group: F-43m, No. 216
# E, eV per atom: -4.01
# Size of the total moment, μB per atom: 0.9870